AcGaI6 | GGA-PBE | relaxed

a = 7.6459 Å, b = 13.7685 Å, c = 7.5878 Å
α = 90.00°, β = 106.91°, γ = 90.00°
Space group C2/m (No. 12)
One atom of each set of equivalent atoms:
Ac  0.0000  0.0000  0.0000 x2
Ga  0.0000  0.5000  0.5000 x2
I  0.2088  0.3515  0.7168 x8
I  0.2431  0.5000  0.2667 x4

The formation energy (no corrections) comes out at -850.0 meV/atom. The volume comes out at 47.8 A^3/atom. The calculation puts the total magnetization at 0.0 Bohr magnetons per cell. For the total energy, the calculation gives -46.472 eV per cell.